No. 1
PBE Al2As, relaxed; SG = No. 141; total magnetization = 0.00 μB/f.u.
1.0
-1.692 1.692 10.022
1.692 -1.692 10.022
1.692 1.692 -10.022
As Al
2 4
Direct
0.000 0.000 0.000
0.750 0.250 0.500
0.430 0.430 0.000
0.180 0.680 0.500
0.320 0.820 0.500
0.570 0.570 0.000

---

No. 2
PBE Al4As, relaxed; SG = No. 139; total magnetization = 0.00 μB/f.u.; distance to the lowest polymorph of the same formula = 0.1316 eV/atom
1.0
-1.890 1.890 6.595
1.890 -1.890 6.595
1.890 1.890 -6.595
Al As
4 1
Direct
0.250 0.750 0.500
0.598 0.598 0.000
0.402 0.402 0.000
0.750 0.250 0.500
0.000 0.000 0.000

---

No. 3
PBE Al4As, relaxed; SG = No. 229; total magnetization = 0.00 μB/f.u.; distance to the lowest polymorph of the same formula = 0.3331 eV/atom
1.0
3.382 0.134 -3.962
2.183 -2.419 4.066
-4.285 -2.580 -1.461
As Al
1 4
Direct
0.000 0.000 0.000
0.500 0.500 0.500
0.000 0.000 0.500
0.000 0.500 0.000
0.500 0.000 0.000

---

No. 4
PBE Al6As7, relaxed; SG = No. 166; total magnetization = 0.00 μB/f.u.
1.0
-7.698 2.631 -1.389
-7.365 -3.606 0.933
-6.348 1.538 5.044
As Al
7 6
Direct
0.500 0.500 0.500
0.078 0.583 0.583
0.417 0.417 0.922
0.583 0.078 0.583
0.583 0.583 0.078
0.922 0.417 0.417
0.417 0.922 0.417
0.060 0.060 0.060
0.336 0.336 0.336
0.664 0.664 0.664
0.824 0.824 0.824
0.940 0.940 0.940
0.176 0.176 0.176

---

No. 5
PBE Al2As, relaxed; SG = No. 12; total magnetization = 0.00 μB/f.u.
1.0
2.449 -1.216 -5.342
3.094 -4.100 -3.104
-2.880 -3.999 -4.324
Al As
4 2
Direct
0.587 0.587 0.178
0.885 0.885 0.242
0.413 0.413 0.822
0.115 0.115 0.758
0.794 0.794 0.709
0.206 0.206 0.291

---

No. 6
PBE AlAs2, relaxed; SG = No. 189; total magnetization = 0.00 μB/f.u.
1.0
3.706 -6.419 0.000
3.706 6.419 0.000
0.000 0.000 3.615
As Al
6 3
Direct
0.441 0.441 0.500
0.714 0.714 0.000
0.000 0.559 0.500
0.000 0.286 0.000
0.286 0.000 0.000
0.559 0.000 0.500
0.000 0.000 0.500
0.667 0.333 0.000
0.333 0.667 0.000

---

Number 1: ΔE_f 84 meV per atom, DFT total energy -3.960 eV per atom. Number 2: ΔE_f 211 meV per atom, DFT total energy -3.713 eV per atom. Number 3: ΔE_f 412 meV per atom, DFT total energy -3.512 eV per atom. Number 4: ΔE_f 228 meV per atom, DFT total energy -4.003 eV per atom. Number 5: ΔE_f -61 meV per atom, DFT total energy -4.106 eV per atom. Number 6: ΔE_f 138 meV per atom, DFT total energy -4.209 eV per atom.